[1]
## MnRh2Cl (PBE)

Data for an optimized crystal structure of MnRh2Cl.

Cell lengths 6.904, 4.481, 2.992 Å; angles 89.96, 64.32, 128.99 degrees
Fractional coordinates of all 4 atoms:
Mn: 0.500 0.500 0.000
Rh: 0.500 0.000 0.500
Rh: 0.000 0.000 0.000
Cl: 0.000 0.500 0.500

Computed properties:
Formation energy from raw total energies   0.4137 eV per atom
Raw total energy   -6.016 eV per atom
Energy above the most stable polymorph in this dataset   1.35 eV per formula unit

=====

[2]
## YHfMn4 (PBE)

Data for an optimized crystal structure of YHfMn4.

Cell lengths 5.020, 5.020, 5.020 Å; angles 60.00, 60.00, 60.00 degrees
Fractional coordinates of all 6 atoms:
Hf: 0.250 0.250 0.250
Y: 0.000 0.000 0.000
Mn: 0.127 0.624 0.624
Mn: 0.624 0.127 0.624
Mn: 0.624 0.624 0.624
Mn: 0.624 0.624 0.127

Computed properties:
Raw total energy   -8.859 eV per atom

=====

[3]
## Nd3Dy3Sc5 (PBE)

Data for an optimized crystal structure of Nd3Dy3Sc5.

Cell lengths 5.427, 9.100, 9.100 Å; angles 120.00, 90.00, 90.00 degrees
Fractional coordinates of all 11 atoms:
Nd: 0.500 0.378 0.000
Sc: 0.500 0.249 0.249
Nd: 0.500 0.622 0.622
Sc: 0.500 0.333 0.667
Dy: 0.000 0.394 0.394
Nd: 0.500 0.000 0.378
Sc: 0.500 0.667 0.333
Sc: 0.500 0.751 0.000
Dy: 0.000 0.606 0.000
Dy: 0.000 0.000 0.606
Sc: 0.500 0.000 0.751

Computed properties:
Raw total energy   -4.623 eV per atom

=====

[4]
## YHoCoHg (PBE)

Data for an optimized crystal structure of YHoCoHg.

Cell lengths 5.022, 5.022, 5.022 Å; angles 60.00, 60.00, 60.00 degrees
Fractional coordinates of all 4 atoms:
Hg: 0.000 0.000 0.000
Y: 0.750 0.750 0.750
Co: 0.500 0.500 0.500
Ho: 0.250 0.250 0.250

Computed properties:
Raw total energy   -4.847 eV per atom

=====

[5]
## Sc3SnN (PBE)

Data for an optimized crystal structure of Sc3SnN.

Cell lengths 6.102, 6.102, 7.173 Å; angles 64.83, 64.83, 90.00 degrees
Fractional coordinates of all 10 atoms:
Sc: 0.371 0.371 0.259
Sn: 0.615 0.115 0.771
Sc: 0.632 0.879 0.243
Sc: 0.121 0.874 0.757
N: 0.000 0.000 0.000
N: 0.250 0.750 0.500
Sc: 0.629 0.629 0.741
Sn: 0.885 0.385 0.229
Sc: 0.121 0.368 0.757
Sc: 0.126 0.879 0.243

Computed properties:
Formation energy from raw total energies   -0.5447 eV per atom
Raw total energy   -6.809 eV per atom

=====

[6]
## YMgAlAg (PBE)

Data for an optimized crystal structure of YMgAlAg.

Cell lengths 4.938, 4.938, 4.938 Å; angles 60.00, 60.00, 60.00 degrees
Fractional coordinates of all 4 atoms:
Y: 0.750 0.750 0.750
Al: 0.500 0.500 0.500
Mg: 0.250 0.250 0.250
Ag: 0.000 0.000 0.000

Computed properties:
Raw total energy   -3.971 eV per atom